No. 1
Here is a relaxed structure of Ac8Os3 from Alexandria. Energies are from PBE.

Unit cell a=7.438 b=7.438 c=7.438 alpha=90.85 beta=90.85 gamma=90.85
Fractional positions:
Ac  0.151  0.340  0.669
Ac  0.161  0.161  0.161
Ac  0.331  0.849  0.660
Ac  0.340  0.669  0.151
Ac  0.660  0.331  0.849
Ac  0.669  0.151  0.340
Ac  0.839  0.839  0.839
Ac  0.849  0.660  0.331
Os  0.000  0.000  0.500
Os  0.000  0.500  0.000
Os  0.500  0.000  0.000

- DOS at the Fermi energy: 8.3 states/eV/cell
- Space-group type: R-3 (148)
- Formation enthalpy at 0 K: 20 meV per atom
- Crystal system: trigonal

---

No. 2
Here is a relaxed structure of ZnP2F from Alexandria. Energies are from PBE.

Unit cell a=3.455 b=3.455 c=20.199 alpha=90.00 beta=90.00 gamma=90.00
Fractional positions:
Zn  0.000  0.000  0.000
Zn  0.000  0.500  0.250
Zn  0.500  0.000  0.750
Zn  0.500  0.500  0.500
P  0.199  0.250  0.125
P  0.250  0.699  0.375
P  0.250  0.801  0.875
P  0.301  0.250  0.625
P  0.699  0.750  0.625
P  0.750  0.199  0.875
P  0.750  0.301  0.375
P  0.801  0.750  0.125
F  0.000  0.000  0.500
F  0.000  0.500  0.750
F  0.500  0.000  0.250
F  0.500  0.500  0.000

- DOS at the Fermi energy: 7.1 states/eV/cell
- Space-group type: I-42d (122)
- Excess energy over the best structure of this formula in the dataset: 0.0 meV/atom
- Crystal system: tetragonal

---

No. 3
Here is a relaxed structure of Pu6GaAu5 from Alexandria. Energies are from PBE.

Unit cell a=8.312 b=8.312 c=4.957 alpha=96.35 beta=96.35 gamma=55.95
Fractional positions:
Pu  0.084  0.585  0.336
Pu  0.250  0.750  0.000
Pu  0.415  0.916  0.664
Pu  0.585  0.084  0.336
Pu  0.750  0.250  0.000
Pu  0.916  0.415  0.664
Ga  0.000  0.000  0.500
Au  0.163  0.163  0.168
Au  0.332  0.332  0.838
Au  0.500  0.500  0.500
Au  0.668  0.668  0.162
Au  0.837  0.837  0.832

- DOS at the Fermi energy: 46.6 states/eV/cell
- Space-group type: C2/m (12)
- Formation enthalpy at 0 K: -374 meV per atom
- Crystal system: monoclinic

---

No. 4
Here is a relaxed structure of TlPb2I6 from Alexandria. Energies are from PBE.

Unit cell a=7.688 b=7.688 c=14.404 alpha=90.00 beta=90.00 gamma=90.00
Fractional positions:
Tl  0.000  0.000  0.000
Tl  0.500  0.500  0.500
Pb  0.000  0.000  0.333
Pb  0.000  0.000  0.667
Pb  0.500  0.500  0.167
Pb  0.500  0.500  0.833
I  0.199  0.199  0.500
I  0.202  0.202  0.165
I  0.202  0.202  0.835
I  0.298  0.702  0.335
I  0.298  0.702  0.665
I  0.301  0.699  0.000
I  0.699  0.301  0.000
I  0.702  0.298  0.335
I  0.702  0.298  0.665
I  0.798  0.798  0.165
I  0.798  0.798  0.835
I  0.801  0.801  0.500

- DOS at the Fermi energy: 8.7 states/eV/cell
- Space-group type: P4_2/mnm (136)
- Crystal system: tetragonal

---

No. 5
Here is a relaxed structure of Be3SiW from Alexandria. Energies are from PBE.

Unit cell a=3.994 b=3.994 c=3.994 alpha=90.00 beta=90.00 gamma=90.00
Fractional positions:
Be  0.000  0.000  0.500
Be  0.000  0.500  0.000
Be  0.500  0.000  0.000
Si  0.000  0.000  0.000
W  0.500  0.500  0.500

- DOS at the Fermi energy: 4.8 states/eV/cell
- Space-group type: Pm-3m (221)
- Excess energy over the best structure of this formula in the dataset: 0.0 meV/atom
- Crystal system: cubic

---

No. 6
Here is a relaxed structure of LaCuP2O from Alexandria. Energies are from PBE.

Unit cell a=4.472 b=4.472 c=4.295 alpha=90.00 beta=90.00 gamma=90.00
Fractional positions:
La  0.000  0.000  0.000
Cu  0.500  0.500  0.500
P  0.000  0.500  0.500
P  0.500  0.000  0.500
O  0.500  0.500  0.000

- DOS at the Fermi energy: 2.9 states/eV/cell
- Space-group type: P4/mmm (123)
- Excess energy over the best structure of this formula in the dataset: 0.0 meV/atom
- Crystal system: tetragonal

---

No. 7
Here is a relaxed structure of KZnCo2 from Alexandria. Energies are from PBE.

Unit cell a=2.667 b=3.993 c=7.121 alpha=90.00 beta=90.00 gamma=90.00
Fractional positions:
K  0.000  0.000  0.000
Zn  0.000  0.000  0.500
Co  0.500  0.500  0.350
Co  0.500  0.500  0.650

- DOS at the Fermi energy: 4.2 states/eV/cell
- Space-group type: Pmmm (47)
- Formation enthalpy at 0 K: 590 meV per atom
- Crystal system: orthorhombic

---

No. 8
Here is a relaxed structure of BaNdIn from Alexandria. Energies are from PBE.

Unit cell a=4.096 b=4.096 c=14.000 alpha=90.00 beta=90.00 gamma=90.00
Fractional positions:
Ba  0.000  0.000  0.000
Ba  0.500  0.500  0.500
Nd  0.000  0.000  0.276
Nd  0.500  0.500  0.776
In  0.000  0.000  0.669
In  0.500  0.500  0.169

- DOS at the Fermi energy: 6.3 states/eV/cell
- Space-group type: I4mm (107)
- Excess energy over the best structure of this formula in the dataset: 100.8 meV/atom
- Formation enthalpy at 0 K: -213 meV per atom
- Crystal system: tetragonal

---

No. 9
Here is a relaxed structure of Pm2NdSm from Alexandria. Energies are from PBE.

Unit cell a=5.694 b=3.584 c=13.522 alpha=90.00 beta=90.00 gamma=90.00
Fractional positions:
Pm  0.000  0.000  0.000
Pm  0.000  0.500  0.500
Pm  0.500  0.000  0.126
Pm  0.500  0.500  0.626
Nd  0.000  0.000  0.742
Nd  0.000  0.500  0.242
Sm  0.500  0.000  0.385
Sm  0.500  0.500  0.885

- DOS at the Fermi energy: 11.1 states/eV/cell
- Space-group type: Amm2 (38)
- Excess energy over the best structure of this formula in the dataset: 33.3 meV/atom
- Formation enthalpy at 0 K: 45 meV per atom
- Crystal system: orthorhombic

---

No. 10
Here is a relaxed structure of Tb6Sm12Cd from Alexandria. Energies are from PBE.

Unit cell a=8.686 b=8.686 c=8.686 alpha=97.21 beta=97.21 gamma=97.21
Fractional positions:
Tb  0.094  0.366  0.364
Tb  0.364  0.094  0.366
Tb  0.366  0.364  0.094
Tb  0.634  0.636  0.906
Tb  0.636  0.906  0.634
Tb  0.906  0.634  0.636
Sm  0.079  0.080  0.671
Sm  0.080  0.671  0.079
Sm  0.240  0.499  0.760
Sm  0.240  0.760  0.501
Sm  0.329  0.921  0.920
Sm  0.499  0.760  0.240
Sm  0.501  0.240  0.760
Sm  0.671  0.079  0.080
Sm  0.760  0.240  0.499
Sm  0.760  0.501  0.240
Sm  0.920  0.329  0.921
Sm  0.921  0.920  0.329
Cd  0.500  0.500  0.500

- DOS at the Fermi energy: 28.9 states/eV/cell
- Space-group type: R-3 (148)
- Excess energy over the best structure of this formula in the dataset: 15.2 meV/atom
- Formation enthalpy at 0 K: 114 meV per atom
- Crystal system: trigonal

---

No. 11
Here is a relaxed structure of BaHoTl4 from Alexandria. Energies are from PBE.

Unit cell a=5.104 b=5.104 c=8.622 alpha=90.00 beta=90.00 gamma=90.00
Fractional positions:
Ba  0.000  0.000  0.000
Ho  0.500  0.500  0.500
Tl  0.000  0.500  0.296
Tl  0.000  0.500  0.704
Tl  0.500  0.000  0.296
Tl  0.500  0.000  0.704

- DOS at the Fermi energy: 5.8 states/eV/cell
- Space-group type: P4/mmm (123)
- Excess energy over the best structure of this formula in the dataset: 58.6 meV/atom
- Formation enthalpy at 0 K: -50 meV per atom
- Crystal system: tetragonal

---

No. 12
Here is a relaxed structure of NaAlIn3 from Alexandria. Energies are from PBE.

Unit cell a=5.420 b=5.420 c=5.420 alpha=90.00 beta=90.00 gamma=90.00
Fractional positions:
Na  0.000  0.000  0.000
Al  0.500  0.500  0.500
In  0.000  0.500  0.500
In  0.500  0.000  0.500
In  0.500  0.500  0.000

- DOS at the Fermi energy: 2.4 states/eV/cell
- Space-group type: Pm-3m (221)
- Excess energy over the best structure of this formula in the dataset: 0.0 meV/atom
- Formation enthalpy at 0 K: 201 meV per atom
- Crystal system: cubic

---

No. 13
Here is a relaxed structure of TaMn4V2 from Alexandria. Energies are from PBE.

Unit cell a=4.488 b=4.488 c=12.433 alpha=90.00 beta=90.00 gamma=90.00
Fractional positions:
Ta  0.000  0.000  0.000
Ta  0.500  0.500  0.500
Mn  0.000  0.000  0.202
Mn  0.000  0.000  0.798
Mn  0.000  0.500  0.000
Mn  0.000  0.500  0.500
Mn  0.500  0.000  0.000
Mn  0.500  0.000  0.500
Mn  0.500  0.500  0.298
Mn  0.500  0.500  0.702
V  0.000  0.000  0.387
V  0.000  0.000  0.613
V  0.500  0.500  0.113
V  0.500  0.500  0.887

- DOS at the Fermi energy: 12.7 states/eV/cell
- Space-group type: I4/mmm (139)
- Formation enthalpy at 0 K: 1139 meV per atom
- Crystal system: tetragonal

---

No. 14
Here is a relaxed structure of Nd4Ga2O from Alexandria. Energies are from PBE.

Unit cell a=6.754 b=6.979 c=8.691 alpha=90.00 beta=108.79 gamma=90.00
Fractional positions:
Nd  0.007  0.001  0.260
Nd  0.007  0.499  0.260
Nd  0.412  0.750  0.078
Nd  0.438  0.750  0.636
Nd  0.562  0.250  0.364
Nd  0.588  0.250  0.922
Nd  0.993  0.501  0.740
Nd  0.993  0.999  0.740
Ga  0.201  0.250  0.042
Ga  0.259  0.250  0.571
Ga  0.741  0.750  0.429
Ga  0.799  0.750  0.958
O  0.231  0.750  0.804
O  0.769  0.250  0.196

- DOS at the Fermi energy: 10.1 states/eV/cell
- Space-group type: P2_1/m (11)
- Excess energy over the best structure of this formula in the dataset: 14.3 meV/atom
- Crystal system: monoclinic

---

No. 15
Here is a relaxed structure of CaSiAs2 from Alexandria. Energies are from PBE.

Unit cell a=4.213 b=3.767 c=6.016 alpha=90.00 beta=90.72 gamma=90.00
Fractional positions:
Ca  0.000  0.000  0.000
Si  0.500  0.000  0.500
As  0.496  0.500  0.777
As  0.504  0.500  0.223

- DOS at the Fermi energy: 1.8 states/eV/cell
- Space-group type: P2/m (10)
- Crystal system: monoclinic

---

No. 16
Here is a relaxed structure of Tb3Pm2NdDy6 from Alexandria. Energies are from PBE.

Unit cell a=6.197 b=6.197 c=11.825 alpha=94.99 beta=94.99 gamma=119.97
Fractional positions:
Tb  0.000  0.000  0.000
Tb  0.333  0.667  0.000
Tb  0.667  0.333  0.000
Pm  0.167  0.833  0.500
Pm  0.833  0.167  0.500
Nd  0.500  0.500  0.500
Dy  0.082  0.415  0.247
Dy  0.251  0.251  0.753
Dy  0.415  0.082  0.247
Dy  0.585  0.918  0.753
Dy  0.749  0.749  0.247
Dy  0.918  0.585  0.753

- DOS at the Fermi energy: 15.1 states/eV/cell
- Space-group type: C2/m (12)
- Formation enthalpy at 0 K: 15 meV per atom
- Crystal system: monoclinic

---

No. 17
Here is a relaxed structure of DySc2Co from Alexandria. Energies are from PBE.

Unit cell a=3.626 b=3.626 c=24.638 alpha=90.00 beta=90.00 gamma=120.00
Fractional positions:
Dy  0.000  0.000  0.000
Dy  0.333  0.667  0.667
Dy  0.667  0.333  0.333
Sc  0.000  0.000  0.224
Sc  0.000  0.000  0.447
Sc  0.333  0.667  0.113
Sc  0.333  0.667  0.891
Sc  0.667  0.333  0.557
Sc  0.667  0.333  0.780
Co  0.000  0.000  0.835
Co  0.333  0.667  0.501
Co  0.667  0.333  0.168

- DOS at the Fermi energy: 13.5 states/eV/cell
- Space-group type: R3m (160)
- Excess energy over the best structure of this formula in the dataset: 173.7 meV/atom
- Formation enthalpy at 0 K: -24 meV per atom
- Crystal system: trigonal

---

No. 18
Here is a relaxed structure of GeP2AuS from Alexandria. Energies are from PBE.

Unit cell a=4.728 b=4.728 c=4.601 alpha=90.00 beta=90.00 gamma=90.00
Fractional positions:
Ge  0.000  0.000  0.000
P  0.000  0.500  0.000
P  0.500  0.000  0.000
Au  0.500  0.500  0.500
S  0.000  0.000  0.500

- DOS at the Fermi energy: 4.4 states/eV/cell
- Space-group type: P4/mmm (123)
- Excess energy over the best structure of this formula in the dataset: 0.0 meV/atom
- Crystal system: tetragonal

---

No. 19
Here is a relaxed structure of TlHgF4 from Alexandria. Energies are from PBE.

Unit cell a=7.016 b=7.000 c=5.707 alpha=66.12 beta=65.83 gamma=48.06
Fractional positions:
Tl  0.125  0.125  0.125
Tl  0.875  0.875  0.875
Hg  0.375  0.375  0.375
Hg  0.625  0.625  0.625
F  0.002  0.498  0.750
F  0.250  0.750  0.498
F  0.250  0.750  0.998
F  0.498  0.002  0.250
F  0.502  0.998  0.750
F  0.750  0.250  0.002
F  0.750  0.250  0.502
F  0.998  0.502  0.250

- DOS at the Fermi energy: 2.0 states/eV/cell
- Space-group type: Fddd (70)
- Excess energy over the best structure of this formula in the dataset: 0.0 meV/atom
- Crystal system: orthorhombic

---

No. 20
Here is a relaxed structure of Tl3Zn2SbO6 from Alexandria. Energies are from PBE.

Unit cell a=6.065 b=6.065 c=6.507 alpha=93.95 beta=93.95 gamma=124.40
Fractional positions:
Tl  0.000  0.000  0.000
Tl  0.326  0.674  0.000
Tl  0.674  0.326  0.000
Zn  0.205  0.795  0.500
Zn  0.795  0.205  0.500
Sb  0.500  0.500  0.500
O  0.133  0.417  0.380
O  0.360  0.360  0.765
O  0.417  0.133  0.380
O  0.583  0.867  0.620
O  0.640  0.640  0.235
O  0.867  0.583  0.620

- Space-group type: C2/m (12)
- Crystal system: monoclinic

---

No. 21
Here is a relaxed structure of Dy5Sb2Pb from Alexandria. Energies are from PBE.

Unit cell a=6.507 b=6.507 c=14.373 alpha=90.00 beta=90.00 gamma=125.80
Fractional positions:
Dy  0.074  0.926  0.602
Dy  0.074  0.926  0.898
Dy  0.378  0.622  0.551
Dy  0.378  0.622  0.949
Dy  0.398  0.602  0.250
Dy  0.602  0.398  0.750
Dy  0.622  0.378  0.051
Dy  0.622  0.378  0.449
Dy  0.926  0.074  0.102
Dy  0.926  0.074  0.398
Sb  0.195  0.805  0.105
Sb  0.195  0.805  0.395
Sb  0.805  0.195  0.605
Sb  0.805  0.195  0.895
Pb  0.285  0.715  0.750
Pb  0.715  0.285  0.250

- DOS at the Fermi energy: 16.2 states/eV/cell
- Space-group type: Cmcm (63)
- Crystal system: orthorhombic

---

No. 22
Here is a relaxed structure of K5TlO4 from Alexandria. Energies are from PBE.

Unit cell a=8.699 b=8.699 c=7.117 alpha=113.77 beta=113.77 gamma=25.40
Fractional positions:
K  0.000  0.000  0.000
K  0.336  0.336  0.104
K  0.336  0.336  0.574
K  0.664  0.664  0.426
K  0.664  0.664  0.896
Tl  0.000  0.000  0.500
O  0.168  0.168  0.666
O  0.500  0.500  0.273
O  0.500  0.500  0.727
O  0.832  0.832  0.334

- Space-group type: C2/m (12)
- Excess energy over the best structure of this formula in the dataset: 176.9 meV/atom
- Crystal system: monoclinic

---

No. 23
Here is a relaxed structure of Ga6Co5Ir from Alexandria. Energies are from PBE.

Unit cell a=6.545 b=6.545 c=5.803 alpha=90.00 beta=90.00 gamma=143.14
Fractional positions:
Ga  0.000  0.000  0.238
Ga  0.000  0.000  0.762
Ga  0.329  0.671  0.245
Ga  0.329  0.671  0.755
Ga  0.671  0.329  0.245
Ga  0.671  0.329  0.755
Co  0.166  0.834  0.500
Co  0.167  0.833  0.000
Co  0.500  0.500  0.000
Co  0.833  0.167  0.000
Co  0.834  0.166  0.500
Ir  0.500  0.500  0.500

- DOS at the Fermi energy: 5.3 states/eV/cell
- Space-group type: Cmmm (65)
- Formation enthalpy at 0 K: -292 meV per atom
- Crystal system: orthorhombic

---

Record-wise volume values, in Å³/cell: 411.3; 241.1; 281.5; 851.4; 63.7; 85.9; 75.8; 234.8; 276.0; 638.4; 224.6; 159.2; 250.4; 387.9; 95.5; 387.4; 280.5; 102.9; 186.6; 195.4; 493.6; 210.4; 149.1
Record-wise total energy values, in eV per atom: -6.031; -3.885; -9.157; -2.618; -4.626; -5.470; -3.556; -3.356; -4.702; -4.377; -2.711; -2.454; -8.399; -5.363; -4.442; -4.633; -6.117; -3.571; -3.287; -4.696; -4.763; -3.722; -5.505